[1]
Density functional theory data (PBEsol) for MoPRu3 after structural relaxation.

Summary:
* formation enthalpy at 0 K: 1.95 eV/atom
* calculated volume: 94 Å³ per cell
* Fermi-level density of states: 7.0 states/eV per cell

a b c (Å): 4.541 4.541 4.541
angles (deg): 90.00 90.00 90.00
Fractional positions:
Ru1 0.000 0.000 0.500
Mo1 0.000 0.000 0.000
Ru2 0.000 0.500 0.000
P1 0.500 0.500 0.500
Ru3 0.500 0.000 0.000

[2]
Density functional theory data (PBEsol) for MoPRu2 after structural relaxation.

Summary:
* formation enthalpy at 0 K: 0.01 eV/atom
* calculated volume: 54 Å³ per cell
* Fermi-level density of states: 3.7 states/eV per cell

a b c (Å): 2.844 4.301 4.380
angles (deg): 90.00 90.00 90.00
Fractional positions:
Ru1 0.500 0.000 0.500
Ru2 0.000 0.000 0.000
Mo1 0.500 0.500 0.000
P1 0.000 0.500 0.500

[3]
Density functional theory data (PBEsol) for Mo4PRu after structural relaxation.

Summary:
* formation enthalpy at 0 K: 0.64 eV/atom
* calculated volume: 92 Å³ per cell
* Fermi-level density of states: 6.3 states/eV per cell

a b c (Å): 5.067 5.067 5.067
angles (deg): 60.00 60.00 60.00
Fractional positions:
Mo1 0.624 0.128 0.624
Mo2 0.624 0.624 0.128
P1 0.250 0.250 0.250
Mo3 0.624 0.624 0.624
Ru1 0.000 0.000 0.000
Mo4 0.128 0.624 0.624

[4]
Density functional theory data (PBEsol) for MoPRu2 after structural relaxation.

Summary:
* formation enthalpy at 0 K: -0.25 eV/atom
* calculated volume: 53 Å³ per cell
* Fermi-level density of states: 1.7 states/eV per cell

a b c (Å): 2.839 2.839 6.554
angles (deg): 90.00 90.00 90.00
Fractional positions:
Ru1 0.000 0.000 0.962
P1 0.500 0.500 0.765
Ru2 0.500 0.500 0.255
Mo1 0.000 0.000 0.519

no.,uncorrected energy (eV per atom)
1,-7.661
2,-9.470
3,-9.865
4,-9.728